Mg2RePb after structural relaxation. Source: Alexandria, functional PBE-GGA.

```
Mg2RePb
1.0
0.0000 3.3836 3.3836
3.3836 0.0000 3.3836
3.3836 3.3836 0.0000
Mg Re Pb
2 1 1
Direct
0.0000 0.0000 0.0000
0.2500 0.2500 0.2500
0.7500 0.7500 0.7500
0.5000 0.5000 0.5000
```

E_form in eV/atom: 0.597
Size of the total moment in μB/f.u.: 0.1

Ac4BiAsSe2 after structural relaxation. Source: Alexandria, functional PBE-GGA.

```
Ac4BiAsSe2
1.0
7.8934 0.0000 0.0000
0.0000 4.6088 0.0000
-2.6973 0.0000 7.5639
Ac Bi As Se
4 1 1 2
Direct
0.2428 0.0000 0.2344
0.2519 0.5000 0.7624
0.7481 0.5000 0.2376
0.7572 0.0000 0.7656
0.5000 0.5000 0.5000
0.5000 0.0000 0.0000
0.0000 0.0000 0.5000
0.0000 0.5000 0.0000
```

Size of the total moment in μB/f.u.: 0.0
E_form (uncorrected) in meV per atom: -1558.9

Y3ScFe after structural relaxation. Source: Alexandria, functional PBE-GGA.

```
Y3ScFe
1.0
5.3431 0.0000 0.0000
0.0000 5.3431 0.0000
0.0000 0.0000 5.3431
Y Sc Fe
3 1 1
Direct
0.0000 0.0000 0.5000
0.0000 0.5000 0.0000
0.5000 0.0000 0.0000
0.0000 0.0000 0.0000
0.5000 0.5000 0.5000
```

E_form in eV/atom: 1.432
Size of the total moment in μB/f.u.: 0.3

Ac4PmGe3 after structural relaxation. Source: Alexandria, functional PBE-GGA.

```
Ac4PmGe3
1.0
4.3542 0.0000 0.0000
0.0000 4.8471 0.0000
0.0000 0.0000 12.5106
Ac Pm Ge
4 1 3
Direct
0.0000 0.0000 0.0000
0.0000 0.5000 0.4675
0.5000 0.0000 0.6780
0.5000 0.5000 0.2070
0.0000 0.5000 0.7831
0.0000 0.0000 0.2689
0.5000 0.0000 0.4030
0.5000 0.5000 0.9414
```

E_form in eV/atom: -0.487
Size of the total moment in μB/f.u.: 0.9

ZnCd2Se after structural relaxation. Source: Alexandria, functional PBE-GGA.

```
ZnCd2Se
1.0
2.7775 -4.1192 0.0000
2.7775 4.1192 0.0000
0.0000 0.0000 3.8274
Zn Cd Se
1 2 1
Direct
0.0000 0.0000 0.0000
0.0000 0.5000 0.5000
0.5000 0.0000 0.5000
0.5000 0.5000 0.0000
```

Size of the total moment in μB/f.u.: 0.0
E_form (uncorrected) in meV per atom: 5.8

Ca2CdI after structural relaxation. Source: Alexandria, functional PBE-GGA.

```
Ca2CdI
1.0
2.0753 1.1982 9.0490
-2.0753 1.1982 9.0490
0.0000 -2.3963 9.0490
Ca Cd I
2 1 1
Direct
0.0000 0.0000 0.0000
0.1775 0.1775 0.1775
0.5890 0.5890 0.5890
0.4202 0.4202 0.4202
```

Size of the total moment in μB/f.u.: 0.0
E_form (uncorrected) in meV per atom: -645.6

LiY2Ge4Rh3 after structural relaxation. Source: Alexandria, functional PBE-GGA.

```
LiY2Ge4Rh3
1.0
4.2332 0.0000 0.0000
0.0000 4.2332 0.0000
0.0000 0.0000 10.0733
Li Y Ge Rh
1 2 4 3
Direct
0.0000 0.0000 0.0000
0.0000 0.5000 0.7441
0.5000 0.0000 0.2559
0.0000 0.0000 0.5000
0.0000 0.5000 0.1323
0.5000 0.0000 0.8677
0.5000 0.5000 0.5000
0.0000 0.5000 0.3727
0.5000 0.0000 0.6273
0.5000 0.5000 0.0000
```

E_form in eV/atom: -0.757
Size of the total moment in μB/f.u.: 0.0

MnCoSb after structural relaxation. Source: Alexandria, functional PBE-GGA.

```
MnCoSb
1.0
-5.8149 5.8149 1.4915
5.8149 -5.8149 1.4915
5.8149 5.8149 -1.4915
Mn Co Sb
4 4 4
Direct
0.0000 0.1323 0.1323
0.0000 0.8677 0.8677
0.1323 0.0000 0.1323
0.8677 0.0000 0.8677
0.3311 0.3311 0.6621
0.3311 0.6689 0.0000
0.6689 0.3311 0.0000
0.6689 0.6689 0.3379
0.1845 0.5000 0.6845
0.5000 0.1845 0.6845
0.5000 0.8155 0.3155
0.8155 0.5000 0.3155
```

Size of the total moment in μB/f.u.: 0.8
E_form (uncorrected) in meV per atom: 432.7

Which formula does entry 7 have?
LiY2Ge4Rh3